Record 1
# Pr2SmDy2Y

An optimized crystal structure of Pr2SmDy2Y (PBE-GGA, Alexandria via LeMat-Bulk).

Lattice parameters (Å, degrees): 7.1054 5.7149 9.8930 90.00 90.00 90.00
Atoms (fractional coordinates):
Pr  0.0000  0.0000  0.0000
Pr  0.2500  0.5000  0.1758
Pr  0.5000  0.0000  0.0000
Pr  0.7500  0.5000  0.8242
Sm  0.2500  0.0000  0.6598
Sm  0.7500  0.0000  0.3402
Dy  0.2500  0.0000  0.3322
Dy  0.2500  0.5000  0.8358
Dy  0.7500  0.0000  0.6678
Dy  0.7500  0.5000  0.1642
Y  0.0000  0.5000  0.5000
Y  0.5000  0.5000  0.5000

The uncorrected energy comes out at -59.193 eV for the cell shown. The size of the total moment comes out at 0.0 Bohr magnetons per cell. The calculation puts the energy of formation at 58 meV/atom. As for the crystal system: orthorhombic.

Record 2
# KSmGa2I6

An optimized crystal structure of KSmGa2I6 (PBE-GGA, Alexandria via LeMat-Bulk).

Lattice parameters (Å, degrees): 8.9348 8.9348 8.9348 55.42 55.42 55.42
Atoms (fractional coordinates):
K  0.0000  0.0000  0.0000
Sm  0.4901  0.4901  0.4901
Ga  0.3042  0.3042  0.3042
Ga  0.8107  0.8107  0.8107
I  0.0959  0.6765  0.4340
I  0.2386  0.5766  0.8701
I  0.4340  0.0959  0.6765
I  0.5766  0.8701  0.2386
I  0.6765  0.4340  0.0959
I  0.8701  0.2386  0.5766

The uncorrected energy comes out at -31.102 eV for the cell shown. The size of the total moment comes out at 0.0 Bohr magnetons per cell. As for the crystal system: trigonal.

Record 3
# LiPt2Br

An optimized crystal structure of LiPt2Br (PBE-GGA, Alexandria via LeMat-Bulk).

Lattice parameters (Å, degrees): 6.0249 6.0249 3.7236 90.07 90.07 33.39
Atoms (fractional coordinates):
Li  0.0000  0.0000  0.0000
Pt  0.2805  0.2805  0.7590
Pt  0.7195  0.7195  0.2410
Br  0.5000  0.5000  0.5000

The uncorrected energy comes out at -16.444 eV for the cell shown. The size of the total moment comes out at 0.0 Bohr magnetons per cell. As for the energy above the most stable polymorph in this dataset: 36 meV/atom. As for the crystal system: monoclinic.